{"formula": "LiHo3Er2Se6", "functional": "PBE-GGA", "state": "relaxed", "formation_energy_uncorrected_ev_per_atom": -1.724, "crystal_system": "monoclinic", "cell": [[3.478, -6.038, 0.000], [3.478, 6.038, 0.000], [-2.337, 0.000, 6.592]], "species": ["Li", "Ho", "Ho", "Ho", "Er", "Er", "Se", "Se", "Se", "Se", "Se", "Se"], "fractional_positions": [[0.000, 0.000, 0.000], [0.167, 0.833, 0.500], [0.500, 0.500, 0.500], [0.833, 0.167, 0.500], [0.335, 0.665, 0.000], [0.665, 0.335, 0.000], [0.081, 0.406, 0.244], [0.243, 0.243, 0.758], [0.406, 0.081, 0.244], [0.594, 0.919, 0.756], [0.757, 0.757, 0.242], [0.919, 0.594, 0.756]]}